1.
A relaxed structure of Ti2FeHPd, computed with PBE.

```
Ti2FeHPd
1.0
4.104 0.000 0.000
0.000 4.104 0.000
0.000 0.000 3.524
Ti Fe H Pd
2 1 1 1
Direct
0.000 0.500 0.000 Ti
0.500 0.000 0.000 Ti
0.000 0.000 0.500 Fe
0.000 0.000 0.000 H
0.500 0.500 0.500 Pd
```


2.
A relaxed structure of TiFeHPd2, computed with PBE.

```
TiFeHPd2
1.0
3.864 0.000 0.000
0.000 3.864 0.000
0.000 0.000 4.090
Ti Fe H Pd
1 1 1 2
Direct
0.000 0.000 0.000 Ti
0.500 0.500 0.000 Fe
0.000 0.000 0.500 H
0.000 0.500 0.500 Pd
0.500 0.000 0.500 Pd
```


3.
A relaxed structure of TlFeHPd2, computed with PBE.

```
TlFeHPd2
1.0
4.034 0.000 0.000
0.000 4.034 0.000
0.000 0.000 4.162
Tl Fe H Pd
1 1 1 2
Direct
0.000 0.000 0.000 Tl
0.500 0.500 0.000 Fe
0.500 0.500 0.500 H
0.000 0.500 0.500 Pd
0.500 0.000 0.500 Pd
```


4.
A relaxed structure of VFeHPd2, computed with PBE.

```
VFeHPd2
1.0
3.879 0.000 0.000
0.000 3.879 0.000
0.000 0.000 3.989
V Fe H Pd
1 1 1 2
Direct
0.000 0.000 0.000 V
0.500 0.500 0.000 Fe
0.000 0.000 0.500 H
0.000 0.500 0.500 Pd
0.500 0.000 0.500 Pd
```


5.
V2FeHPd PBE relaxed; ΔE to the lowest computed polymorph = 94.9 meV per atom
1.0
3.787 0.000 0.000
0.000 3.787 0.000
0.000 0.000 3.787
V Fe H Pd
2 1 1 1
Direct
0.000 0.500 0.000 V
0.500 0.000 0.000 V
0.000 0.000 0.500 Fe
0.500 0.500 0.000 H
0.500 0.500 0.500 Pd


6.
V2FeHPd PBE relaxed; ΔE to the lowest computed polymorph = 0.0 meV per atom
1.0
3.812 0.000 0.000
0.000 3.812 0.000
0.000 0.000 3.691
V Fe H Pd
2 1 1 1
Direct
0.000 0.500 0.000 V
0.500 0.000 0.000 V
0.000 0.000 0.500 Fe
0.000 0.000 0.000 H
0.500 0.500 0.500 Pd


The calculation returns the following VASP energy values, one per record and in order: -6.919; -6.251; -4.869; -6.319; -7.060; -7.155 eV per atom.